(1)
A geometry-optimized TiZnCrW2 structure. Source: the Alexandria database, functional PBE.

Computed properties:
For the formation energy, the calculation gives 1.231 eV per atom. For the density of states at the Fermi level, the calculation gives 1.464 states/eV/atom. As for the total energy: -38.54 eV for the cell shown.

a = 4.4648 Å, b = 4.4648 Å, c = 4.5502 Å
α = 90.00°, β = 90.00°, γ = 90.00°
Positions (direct):
Ti 0.0000 0.0000 0.0000
Zn 0.5000 0.5000 0.0000
Cr 0.5000 0.5000 0.5000
W 0.0000 0.5000 0.5000
W 0.5000 0.0000 0.5000

---

(2)
A geometry-optimized TiZn2CrW structure. Source: the Alexandria database, functional PBE.

Computed properties:
For the formation energy, the calculation gives 1.229 eV per atom. For the density of states at the Fermi level, the calculation gives 0.793 states/eV/atom. As for the total energy: -26.88 eV for the cell shown.

a = 4.5681 Å, b = 4.5681 Å, c = 4.0556 Å
α = 90.00°, β = 90.00°, γ = 90.00°
Positions (direct):
Ti 0.0000 0.0000 0.0000
Zn 0.0000 0.5000 0.5000
Zn 0.5000 0.0000 0.5000
Cr 0.0000 0.0000 0.5000
W 0.5000 0.5000 0.0000